A plane-wave DFT calculation with PBE was carried out for crystalline PrMg2Pd9 at its relaxed geometry.

a b c (Å): 4.1224 4.1224 11.8099
angles (deg): 90.00 90.00 90.00
Closest atoms and distances in Å follow each position.
Element x y z (fractional)
Pr 0.0000 0.0000 0.0000  12 Pd 2.92-2.99
Mg 0.0000 0.0000 0.3427  12 Pd 2.78-2.92
Mg 0.0000 0.0000 0.6573  12 Pd 2.78-2.92
Pd 0.0000 0.5000 0.1834  8 Pd 2.79-2.99, 2 Mg 2.79, 2 Pr 2.99
Pd 0.0000 0.5000 0.5000  4 Mg 2.78, 8 Pd 2.78-2.92
Pd 0.0000 0.5000 0.8166  8 Pd 2.79-2.99, 2 Mg 2.79, 2 Pr 2.99
Pd 0.5000 0.0000 0.1834  8 Pd 2.79-2.99, 2 Mg 2.79, 2 Pr 2.99
Pd 0.5000 0.0000 0.5000  4 Mg 2.78, 8 Pd 2.78-2.92
Pd 0.5000 0.0000 0.8166  8 Pd 2.79-2.99, 2 Mg 2.79, 2 Pr 2.99
Pd 0.5000 0.5000 0.0000  4 Pr 2.92, 8 Pd 2.99
Pd 0.5000 0.5000 0.3421  8 Pd 2.78-2.79, 4 Mg 2.92
Pd 0.5000 0.5000 0.6579  8 Pd 2.78-2.79, 4 Mg 2.92

Properties
* D(E_F): 1.061 states/eV/atom
* total magnetic moment: 0.0 μB per formula unit
* energy: -5.1043 eV/atom